# PBE+U VSeF2, relaxed
data_VSeF2
_chemical_formula_sum 'V3 Se3 F6'
_cell_length_a 3.1159
_cell_length_b 3.1159
_cell_length_c 29.0590
_cell_angle_alpha 90.00
_cell_angle_beta 90.00
_cell_angle_gamma 120.00
_symmetry_space_group_name_H-M 'R -3 m'
_symmetry_Int_Tables_number 166
_symmetry_space_group_name_Hall '-R 3 2"'
loop_
_atom_site_label
_atom_site_fract_x
_atom_site_fract_y
_atom_site_fract_z
_atom_site_occupancy
V1 0.0000 0.0000 0.0000 1
Se1 0.0000 0.0000 0.5000 1
F1 0.0000 0.0000 0.3701 1
# total DFT energy (no corrections) = -5.3295 eV per atom